(1)
This record from OQMD via LeMat-Bulk describes an optimized crystal structure of Er3Si3Pt2. The functional is PBE.

Cell: 5.5570 5.5570 14.0587 Å, 90.00 90.00 134.92°
Closest atoms and distances in Å follow each position.
Element x y z (fractional)
Er: 0.0901 0.9099 0.6114  4 Pt 2.94-3.18, 7 Si 2.97-3.24
Er: 0.0901 0.9099 0.8886  4 Pt 2.94-3.18, 7 Si 2.97-3.24
Er: 0.3692 0.6308 0.7500  5 Si 3.00-3.03, 4 Pt 3.06
Er: 0.6308 0.3692 0.2500  5 Si 3.00-3.03, 4 Pt 3.06
Er: 0.9099 0.0901 0.1114  4 Pt 2.94-3.18, 7 Si 2.97-3.24
Er: 0.9099 0.0901 0.3886  4 Pt 2.94-3.18, 7 Si 2.97-3.24
Si: 0.3364 0.6636 0.2500  2 Pt 2.54
Si: 0.3876 0.6124 0.5349  3 Pt 2.48-2.74, 1 Si 2.51
Si: 0.3876 0.6124 0.9651  3 Pt 2.48-2.74, 1 Si 2.51
Si: 0.6124 0.3876 0.0349  3 Pt 2.48-2.74, 1 Si 2.51
Si: 0.6124 0.3876 0.4651  3 Pt 2.48-2.74, 1 Si 2.51
Si: 0.6636 0.3364 0.7500  2 Pt 2.54
Pt: 0.1961 0.8039 0.1013  4 Si 2.48-2.74
Pt: 0.1961 0.8039 0.3987  4 Si 2.48-2.74
Pt: 0.8039 0.1961 0.6013  4 Si 2.48-2.74
Pt: 0.8039 0.1961 0.8987  4 Si 2.48-2.74

Uncorrected energy in eV/f.u.: -51.015

=====

(2)
This record from OQMD via LeMat-Bulk describes an optimized crystal structure of DyScCSe. The functional is PBE.

Cell: 3.6373 3.6373 12.8182 Å, 90.00 90.00 120.00°
Closest atoms and distances in Å follow each position.
Element x y z (fractional)
Dy: 0.3333 0.6667 0.3944  3 C 2.50
Dy: 0.6667 0.3333 0.6056  3 C 2.50
Sc: 0.3333 0.6667 0.0929  3 C 2.41
Sc: 0.6667 0.3333 0.9071  3 C 2.41
C: 0.0000 0.0000 0.0000  6 Sc 2.41
C: 0.0000 0.0000 0.5000  6 Dy 2.50
Se: 0.3333 0.6667 0.7643  3 Sc 2.79, 3 Dy 2.92
Se: 0.6667 0.3333 0.2357  3 Sc 2.79, 3 Dy 2.92

E above lowest polymorph in meV per atom: 6
Uncorrected energy in eV/f.u.: -28.164

=====

(3)
This record from OQMD via LeMat-Bulk describes an optimized crystal structure of AcAgAs. The functional is PBE.

Cell: 4.9366 4.9366 4.9366 Å, 60.00 60.00 60.00°
Closest atoms and distances in Å follow each position.
Element x y z (fractional)
Ac: 0.0000 0.0000 0.0000  4 Ag 3.02
Ag: 0.2500 0.2500 0.2500  4 Ac 3.02, 4 As 3.02
As: 0.5000 0.5000 0.5000  4 Ag 3.02

E above lowest polymorph in meV per atom: 0
Uncorrected energy in eV/f.u.: -13.070

=====

(4)
This record from OQMD via LeMat-Bulk describes an optimized crystal structure of HfAl2Si. The functional is PBE.

Cell: 4.6149 4.6149 4.6149 Å, 60.00 60.00 60.00°
Closest atoms and distances in Å follow each position.
Element x y z (fractional)
Hf: 0.0000 0.0000 0.0000  4 Al 2.83, 4 Si 2.83
Al: 0.2500 0.2500 0.2500  4 Hf 2.83, 4 Al 2.83
Al: 0.5000 0.5000 0.5000  4 Al 2.83, 4 Si 2.83
Si: 0.7500 0.7500 0.7500  4 Hf 2.83, 4 Al 2.83

Uncorrected energy in eV/f.u.: -22.450

=====

What is the uncorrected energy in the second record? -28.164 eV/f.u.

=====

The lowest uncorrected energy belongs to which entry? Er3Si3Pt2

=====

Number 1 is which compound? Er3Si3Pt2